Record 1
VASP calculation (PBE) on a relaxed structure of PuZr4ScPa2.

Cell: 6.346 6.409 10.750 Å, 81.96 81.38 61.23°
Positions (direct):
Pu (0.000, 0.000, 0.000)
Pu (0.000, 0.500, 0.500)
Zr (0.206, 0.215, 0.751)
Zr (0.207, 0.714, 0.752)
Zr (0.293, 0.287, 0.246)
Zr (0.297, 0.786, 0.248)
Zr (0.703, 0.214, 0.752)
Zr (0.707, 0.713, 0.754)
Zr (0.793, 0.286, 0.248)
Zr (0.794, 0.785, 0.249)
Sc (0.000, 0.500, 0.000)
Sc (0.500, 0.500, 0.000)
Pa (0.000, 0.000, 0.500)
Pa (0.500, 0.000, 0.000)
Pa (0.500, 0.000, 0.500)
Pa (0.500, 0.500, 0.500)

ΔE_f: 0.064 eV per atom
SG: P-1 (2)
total magnetic moment: 10.30 μB per cell

=====

Record 2
VASP calculation (PBE) on a relaxed structure of BaNi2Te.

Cell: 6.096 6.096 6.096 Å, 140.66 140.66 56.85°
Positions (direct):
Ba (0.000, 0.000, 0.000)
Ni (0.250, 0.750, 0.500)
Ni (0.500, 0.500, 0.000)
Te (0.750, 0.250, 0.500)

SG: I-4m2 (119)
E_form (uncorrected): 0.27 eV per atom
total magnetic moment: 0.00 μB per cell

=====

Record 3
VASP calculation (PBE) on a relaxed structure of Cu5As2O12.

Cell: 6.079 6.152 7.155 Å, 109.46 98.04 107.02°
Positions (direct):
Cu (0.000, 0.000, 0.000)
Cu (0.324, 0.000, 0.344)
Cu (0.331, 0.503, 0.318)
Cu (0.669, 0.497, 0.682)
Cu (0.676, 0.000, 0.656)
As (0.185, 0.463, 0.813)
As (0.815, 0.537, 0.187)
O (0.005, 0.612, 0.744)
O (0.010, 0.161, 0.789)
O (0.305, 0.177, 0.179)
O (0.333, 0.395, 0.621)
O (0.350, 0.641, 0.056)
O (0.357, 0.817, 0.499)
O (0.643, 0.183, 0.501)
O (0.650, 0.359, 0.944)
O (0.667, 0.605, 0.379)
O (0.695, 0.823, 0.821)
O (0.990, 0.839, 0.211)
O (0.995, 0.388, 0.256)

SG: P-1 (2)
E_form (uncorrected): -0.68 eV per atom
ΔE to the lowest computed polymorph: 0 meV/atom
total magnetic moment: 0.98 μB per cell

=====

Record 4
VASP calculation (PBE) on a relaxed structure of CsSiHg2.

Cell: 9.205 9.205 9.205 Å, 139.59 139.59 58.47°
Positions (direct):
Cs (0.000, 0.000, 0.000)
Cs (0.750, 0.250, 0.500)
Si (0.250, 0.750, 0.500)
Si (0.500, 0.500, 0.000)
Hg (0.374, 0.125, 0.749)
Hg (0.375, 0.626, 0.751)
Hg (0.376, 0.625, 0.251)
Hg (0.875, 0.624, 0.249)

SG: I-42d (122)
E_form (uncorrected): 0.04 eV per atom
total magnetic moment: 0.00 μB per cell

=====

Record 5
VASP calculation (PBE) on a relaxed structure of Th2AsAu.

Cell: 12.180 12.180 4.417 Å, 90.00 90.00 160.66°
Positions (direct):
Th (0.069, 0.931, 0.750)
Th (0.314, 0.686, 0.750)
Th (0.686, 0.314, 0.250)
Th (0.931, 0.069, 0.250)
As (0.191, 0.809, 0.750)
As (0.809, 0.191, 0.250)
Au (0.458, 0.542, 0.750)
Au (0.542, 0.458, 0.250)

ΔE_f: -0.968 eV per atom
SG: Cmcm (63)
total magnetic moment: 0.00 μB per cell

=====

Record 6
VASP calculation (PBE) on a relaxed structure of SrInTcMo2.

Cell: 5.042 5.042 5.005 Å, 90.00 90.00 90.00°
Positions (direct):
Sr (0.000, 0.000, 0.000)
In (0.500, 0.500, 0.500)
Tc (0.500, 0.500, 0.000)
Mo (0.000, 0.500, 0.500)
Mo (0.500, 0.000, 0.500)

ΔE_f: 1.960 eV per atom
SG: P4/mmm (123)
ΔE to the lowest computed polymorph: 0 meV/atom
total magnetic moment: 0.00 μB per cell

=====

Record 7
VASP calculation (PBE) on a relaxed structure of PrTm8Th2.

Cell: 10.109 10.109 5.490 Å, 92.02 92.02 40.19°
Positions (direct):
Pr (0.000, 0.000, 0.000)
Tm (0.137, 0.598, 0.263)
Tm (0.183, 0.183, 0.234)
Tm (0.402, 0.863, 0.737)
Tm (0.453, 0.453, 0.760)
Tm (0.547, 0.547, 0.240)
Tm (0.598, 0.137, 0.263)
Tm (0.817, 0.817, 0.766)
Tm (0.863, 0.402, 0.737)
Th (0.283, 0.283, 0.742)
Th (0.717, 0.717, 0.258)

ΔE_f: 0.174 eV per atom
SG: C2/m (12)
ΔE to the lowest computed polymorph: 143 meV/atom
total magnetic moment: 0.00 μB per cell

=====

Record 8
VASP calculation (PBE) on a relaxed structure of Zn2Sn.

Cell: 3.354 5.431 6.647 Å, 90.00 104.60 90.00°
Positions (direct):
Zn (0.000, 0.000, 0.000)
Zn (0.000, 0.500, 0.000)
Zn (0.372, 0.250, 0.746)
Zn (0.628, 0.750, 0.254)
Sn (0.324, 0.750, 0.646)
Sn (0.676, 0.250, 0.354)

ΔE_f: 0.061 eV per atom
SG: P2_1/m (11)
total magnetic moment: 0.00 μB per cell

=====

Record 9
VASP calculation (PBE) on a relaxed structure of YErAu.

Cell: 6.637 6.637 6.637 Å, 148.66 148.66 44.92°
Positions (direct):
Y (0.000, 0.000, 0.000)
Er (0.290, 0.290, 0.000)
Au (0.651, 0.651, 0.000)

ΔE_f: -0.549 eV per atom
SG: I4mm (107)
ΔE to the lowest computed polymorph: 25 meV/atom
total magnetic moment: 0.93 μB per cell

=====

Record 10
VASP calculation (PBE) on a relaxed structure of Tb5Pm4In2.

Cell: 15.987 15.987 15.987 Å, 18.98 18.98 18.98°
Positions (direct):
Tb (0.000, 0.000, 0.000)
Tb (0.148, 0.148, 0.148)
Tb (0.303, 0.303, 0.303)
Tb (0.697, 0.697, 0.697)
Tb (0.852, 0.852, 0.852)
Pm (0.073, 0.073, 0.073)
Pm (0.226, 0.226, 0.226)
Pm (0.774, 0.774, 0.774)
Pm (0.927, 0.927, 0.927)
In (0.379, 0.379, 0.379)
In (0.621, 0.621, 0.621)

ΔE_f: 0.177 eV per atom
SG: R-3m (166)
total magnetic moment: 0.00 μB per cell

=====

VASP energy, respectively: -9.167, -3.891, -5.382, -1.684, -6.660, -5.329, -4.861, -2.122, -5.317, -4.153 eV per atom.